A plane-wave DFT calculation with GGA-PBE was carried out for a relaxed Ho2ErTm9 crystal.

Values from the calculation:
Offset from the most stable computed form: 34.4 meV/atom
Total magnetization: 0.0 Bohr magnetons per cell
Formation energy: 0.0611 eV/atom
V: 30.3 A^3/atom
VASP energy: -4.436 eV/atom

Cell lengths 11.0247, 11.0247, 3.4489 Å; angles 90.00, 90.00, 120.00 degrees
Space group P6/mmm (No. 191)
Unique sites:
Ho  0.3333  0.6667  0.0000 x2
Er  0.0000  0.0000  0.0000 x1
Tm  0.0000  0.5000  0.0000 x3
Tm  0.1765  0.3529  0.5000 x6